TbSmTm2Sb4 | PBE | relaxed

Unit cell a=4.391 b=7.595 c=7.601 alpha=70.51 beta=90.00 gamma=90.00
Fractional positions:
1 Tb 0.000 0.500 0.500
2 Sm 0.500 0.500 0.000
3 Tm 0.000 0.000 0.000
4 Tm 0.500 0.000 0.500
5 Sb 0.000 0.758 0.745
6 Sb 0.000 0.242 0.255
7 Sb 0.500 0.756 0.250
8 Sb 0.500 0.244 0.750

Summary:
Volume ... 238.98 Å³/cell
Theoretical density ... 7.9 g/cm³
VASP energy ... -5.46 eV/atom

=====

Tb3Sm2YSb6 | PBE | relaxed

Unit cell a=4.425 b=8.847 c=9.891 alpha=102.88 beta=102.93 gamma=90.00
Fractional positions:
1 Tb 0.500 0.500 0.000
2 Tb 0.833 0.166 0.665
3 Tb 0.167 0.834 0.335
4 Sm 0.834 0.667 0.668
5 Sm 0.166 0.333 0.332
6 Y 0.500 0.000 0.000
7 Sb 0.334 0.920 0.668
8 Sb 0.666 0.586 0.332
9 Sb 0.666 0.080 0.332
10 Sb 0.999 0.249 0.997
11 Sb 0.001 0.751 0.003
12 Sb 0.334 0.414 0.668

Summary:
Volume ... 367.36 Å³/cell
Theoretical density ... 7.2 g/cm³
VASP energy ... -5.70 eV/atom

=====

Tb2SmY3Sb6 | PBE | relaxed

Unit cell a=7.637 b=7.637 c=7.633 alpha=99.59 beta=99.59 gamma=120.00
Fractional positions:
1 Tb 0.333 0.667 0.000
2 Tb 0.667 0.333 0.000
3 Sm 0.000 0.000 0.000
4 Y 0.166 0.834 0.500
5 Y 0.834 0.166 0.500
6 Y 0.500 0.500 0.500
7 Sb 0.916 0.580 0.748
8 Sb 0.748 0.748 0.252
9 Sb 0.084 0.420 0.252
10 Sb 0.580 0.916 0.748
11 Sb 0.252 0.252 0.748
12 Sb 0.420 0.084 0.252

Summary:
Volume ... 363.53 Å³/cell
Theoretical density ... 6.7 g/cm³
VASP energy ... -6.00 eV/atom

=====

Sm12TcSb6 | PBE | relaxed

Unit cell a=8.712 b=8.712 c=8.712 alpha=99.30 beta=99.30 gamma=99.30
Fractional positions:
1 Sm 0.805 0.580 0.446
2 Sm 0.446 0.805 0.580
3 Sm 0.580 0.446 0.805
4 Sm 0.195 0.420 0.554
5 Sm 0.554 0.195 0.420
6 Sm 0.420 0.554 0.195
7 Sm 0.055 0.990 0.315
8 Sm 0.010 0.685 0.945
9 Sm 0.685 0.945 0.010
10 Sm 0.945 0.010 0.685
11 Sm 0.990 0.315 0.055
12 Sm 0.315 0.055 0.990
13 Tc 0.000 0.000 0.000
14 Sb 0.686 0.878 0.355
15 Sb 0.645 0.314 0.122
16 Sb 0.122 0.645 0.314
17 Sb 0.314 0.122 0.645
18 Sb 0.355 0.686 0.878
19 Sb 0.878 0.355 0.686

Summary:
Volume ... 631.99 Å³/cell
Theoretical density ... 6.9 g/cm³
VASP energy ... -5.44 eV/atom

=====

SmTcSb3 | PBE | relaxed

Unit cell a=6.174 b=6.224 c=12.748 alpha=90.00 beta=90.00 gamma=90.00
Fractional positions:
1 Sm 0.750 0.506 0.694
2 Sm 0.250 0.494 0.306
3 Sm 0.750 0.006 0.306
4 Sm 0.250 0.994 0.694
5 Tc 0.500 0.250 0.103
6 Tc 0.000 0.750 0.897
7 Tc 0.500 0.750 0.897
8 Tc 0.000 0.250 0.103
9 Sb 0.000 0.250 0.499
10 Sb 0.500 0.750 0.501
11 Sb 0.000 0.750 0.501
12 Sb 0.500 0.250 0.499
13 Sb 0.250 0.101 0.940
14 Sb 0.750 0.899 0.060
15 Sb 0.250 0.601 0.060
16 Sb 0.750 0.399 0.940
17 Sb 0.250 0.484 0.780
18 Sb 0.750 0.516 0.220
19 Sb 0.250 0.984 0.220
20 Sb 0.750 0.016 0.780

Summary:
Volume ... 489.93 Å³/cell
Theoretical density ... 8.3 g/cm³
VASP energy ... -5.99 eV/atom

=====

SmTcSb | PBE | relaxed

Unit cell a=4.523 b=5.791 c=6.645 alpha=100.25 beta=90.00 gamma=112.99
Fractional positions:
1 Sm 0.118 0.235 0.760
2 Sm 0.882 0.765 0.240
3 Tc 0.400 0.800 0.547
4 Tc 0.600 0.200 0.453
5 Sb 0.175 0.349 0.259
6 Sb 0.825 0.651 0.741

Summary:
Volume ... 157.19 Å³/cell
Theoretical density ... 7.8 g/cm³
VASP energy ... -6.76 eV/atom

=====

Sm4TcSb | PBE | relaxed

Unit cell a=6.330 b=8.187 c=8.187 alpha=113.31 beta=103.05 gamma=103.05
Fractional positions:
1 Sm 0.841 0.649 0.789
2 Sm 0.067 0.941 0.282
3 Sm 0.659 0.211 0.351
4 Sm 0.433 0.718 0.059
5 Sm 0.567 0.282 0.941
6 Sm 0.341 0.789 0.649
7 Sm 0.933 0.059 0.718
8 Sm 0.159 0.351 0.211
9 Tc 0.250 0.001 0.999
10 Tc 0.750 0.999 0.001
11 Sb 0.750 0.627 0.373
12 Sb 0.250 0.373 0.627

Summary:
Volume ... 355.19 Å³/cell
Theoretical density ... 7.7 g/cm³
VASP energy ... -5.97 eV/atom

=====

SmSbTe | PBE | relaxed

Unit cell a=4.326 b=4.326 c=9.436 alpha=90.00 beta=90.00 gamma=90.00
Fractional positions:
1 Sm 0.000 0.500 0.726
2 Sm 0.500 0.000 0.274
3 Sb 0.000 0.000 0.000
4 Sb 0.500 0.500 0.000
5 Te 0.000 0.500 0.376
6 Te 0.500 0.000 0.624

Summary:
Volume ... 176.58 Å³/cell
Theoretical density ... 7.5 g/cm³
VASP energy ... -5.14 eV/atom

=====

Question: theoretical density of number 2 (Tb3Sm2YSb6)?
Answer: 7.2 g/cm³

=====

Question: Among the records above, which one has the highest volume?
Answer: Sm12TcSb6